[1]
5
Lattice="4.503 0.000 0.000 0.000 4.503 0.000 0.000 0.000 4.503" Properties=species:S:1:pos:R:3 comment="GGA-PBEsol P3RuF, relaxed" spacegroup=Pm-3m m_tot_mub_per_cell=0.001 formation_energy_uncorrected_mev_per_atom=407 pbc="T T T"
Ru 0.000 0.000 0.000
P 2.251 0.000 0.000
P 0.000 0.000 2.251
P 0.000 2.251 0.000
F 2.251 2.251 2.251


[2]
5
Lattice="-0.622 4.079 0.662 -2.007 -0.884 3.557 3.783 0.221 2.190" Properties=species:S:1:pos:R:3 comment="GGA-PBEsol YPRu2F, relaxed" spacegroup=P4/mmm m_tot_mub_per_cell=0.002 formation_energy_uncorrected_mev_per_atom=34 pbc="T T T"
Y 1.892 0.111 1.095
F 0.000 0.000 0.000
Ru -0.311 2.039 0.331
Ru -1.004 -0.442 1.779
P 0.577 1.708 3.205


[3]
4
Lattice="4.161 0.000 0.000 2.081 3.604 0.000 2.081 1.201 3.398" Properties=species:S:1:pos:R:3 comment="GGA-PBEsol PS2F, relaxed" spacegroup=Fm-3m m_tot_mub_per_cell=0.001 formation_energy_uncorrected_mev_per_atom=134 pbc="T T T"
S 6.242 3.604 2.548
S 2.081 1.201 0.849
F 0.000 0.000 0.000
P 4.161 2.403 1.699


[4]
4
Lattice="-1.182 -1.556 -1.751 -1.540 -1.961 0.817 -8.005 4.353 -0.430" Properties=species:S:1:pos:R:3 comment="GGA-PBEsol PSF2, relaxed" spacegroup=R-3m m_tot_mub_per_cell=0.000 formation_energy_uncorrected_mev_per_atom=-501 pbc="T T T"
P -5.363 0.418 -0.682
S 0.000 0.000 0.000
F -4.069 -2.468 -0.956
F -6.658 3.304 -0.407